Entry 1:
The following is a meta-GGA SCAN calculation of a PBEsol-optimized structure of AsH2OsCl, from Alexandria.

Geometry as POSCAR:
```
AsH2OsCl
1.0
3.458 0.000 0.000
0.000 3.458 0.000
0.000 0.000 5.189
As H Os Cl
1 2 1 1
direct
0.000 0.000 0.000
0.000 0.500 0.500
0.500 0.000 0.500
0.500 0.500 0.000
0.500 0.500 0.500
```

Spin magnetization = 0.000 μB per formula unit
SG = P4/mmm


Entry 2:
The following is a meta-GGA SCAN calculation of a PBEsol-optimized structure of KHg2Au, from Alexandria.

Geometry as POSCAR:
```
KHg2Au
1.0
3.670 0.000 0.000
0.000 3.670 0.000
0.000 0.000 7.533
K Hg Au
1 2 1
direct
0.000 0.000 0.000
0.500 0.500 0.300
0.500 0.500 0.700
0.000 0.000 0.500
```

Spin magnetization = 0.000 μB per formula unit
ΔE to the lowest computed polymorph = 0.057 eV per atom
SG = P4/mmm


Entry 3:
The following is a meta-GGA SCAN calculation of a PBEsol-optimized structure of NaSiI2N, from Alexandria.

Geometry as POSCAR:
```
NaSiI2N
1.0
5.674 0.000 0.000
0.000 5.674 0.000
0.000 0.000 4.273
Na Si I N
1 1 2 1
direct
0.000 0.000 0.000
0.500 0.500 0.500
0.000 0.500 0.000
0.500 0.000 0.000
0.000 0.000 0.500
```

Spin magnetization = 2.139 μB per formula unit
ΔE_f (raw) = 1.02 eV/atom
SG = P4/mmm


Entry 4:
The following is a meta-GGA SCAN calculation of a PBEsol-optimized structure of Tc3SbS, from Alexandria.

Geometry as POSCAR:
```
Tc3SbS
1.0
4.342 0.000 0.000
0.000 4.342 0.000
0.000 0.000 4.342
Tc Sb S
3 1 1
direct
0.000 0.000 0.500
0.000 0.500 0.000
0.500 0.000 0.000
0.500 0.500 0.500
0.000 0.000 0.000
```

Spin magnetization = 0.740 μB per formula unit
ΔE_f (raw) = 0.54 eV/atom
SG = Pm-3m


Entry 5:
The following is a meta-GGA SCAN calculation of a PBEsol-optimized structure of Mo2RuPt, from Alexandria.

Geometry as POSCAR:
```
Mo2RuPt
1.0
3.307 0.000 0.000
0.000 3.307 0.000
0.000 0.000 5.488
Mo Ru Pt
2 1 1
direct
0.000 0.000 0.227
0.000 0.000 0.773
0.500 0.500 0.000
0.500 0.500 0.500
```

Spin magnetization = 0.000 μB per formula unit
ΔE to the lowest computed polymorph = 0.329 eV per atom
SG = P4/mmm


Entry 6:
The following is a meta-GGA SCAN calculation of a PBEsol-optimized structure of Y2ScHg, from Alexandria.

Geometry as POSCAR:
```
Y2ScHg
1.0
3.857 0.000 0.000
0.000 3.873 0.000
0.000 0.000 6.846
Y Sc Hg
2 1 1
direct
0.000 0.000 0.244
0.000 0.000 0.756
0.500 0.500 0.500
0.500 0.500 0.000
```

Spin magnetization = 0.000 μB per formula unit
SG = Pmmm


Entry 7:
The following is a meta-GGA SCAN calculation of a PBEsol-optimized structure of Be2TlAs, from Alexandria.

Geometry as POSCAR:
```
Be2TlAs
1.0
6.522 0.000 0.000
0.000 6.522 0.000
0.000 0.000 6.522
Be Tl As
8 4 4
direct
0.000 0.000 0.000
0.000 0.500 0.500
0.250 0.250 0.250
0.250 0.750 0.750
0.500 0.000 0.500
0.500 0.500 0.000
0.750 0.250 0.750
0.750 0.750 0.250
0.000 0.000 0.500
0.000 0.500 0.000
0.500 0.000 0.000
0.500 0.500 0.500
0.250 0.250 0.750
0.250 0.750 0.250
0.750 0.250 0.250
0.750 0.750 0.750
```

Spin magnetization = 0.000 μB per formula unit
SG = F-43m


Entry 8:
The following is a meta-GGA SCAN calculation of a PBEsol-optimized structure of Cs2YAgI6, from Alexandria.

Geometry as POSCAR:
```
Cs2YAgI6
1.0
0.000 5.928 5.928
5.928 0.000 5.928
5.928 5.928 0.000
Cs Y Ag I
2 1 1 6
direct
0.250 0.250 0.250
0.750 0.750 0.750
0.000 0.000 0.000
0.500 0.500 0.500
0.251 0.251 0.749
0.251 0.749 0.251
0.251 0.749 0.749
0.749 0.251 0.251
0.749 0.251 0.749
0.749 0.749 0.251
```

Spin magnetization = 0.000 μB per formula unit
ΔE_f (raw) = -1.37 eV/atom
SG = Fm-3m


Entry 9:
The following is a meta-GGA SCAN calculation of a PBEsol-optimized structure of BaMg2Se2, from Alexandria.

Geometry as POSCAR:
```
BaMg2Se2
1.0
4.258 0.000 0.000
0.000 4.258 0.000
0.000 0.000 13.738
Ba Mg Se
2 4 4
direct
0.000 0.000 0.000
0.500 0.500 0.500
0.000 0.500 0.250
0.000 0.500 0.750
0.500 0.000 0.250
0.500 0.000 0.750
0.000 0.000 0.379
0.000 0.000 0.621
0.500 0.500 0.121
0.500 0.500 0.879
```

Spin magnetization = 0.000 μB per formula unit
ΔE_f (raw) = -1.05 eV/atom
SG = I4/mmm


Entry 10:
The following is a meta-GGA SCAN calculation of a PBEsol-optimized structure of LaInPb2, from Alexandria.

Geometry as POSCAR:
```
LaInPb2
1.0
4.045 0.000 0.000
0.000 4.045 0.000
0.000 0.000 6.997
La In Pb
1 1 2
direct
0.000 0.000 0.000
0.500 0.500 0.729
0.000 0.000 0.507
0.500 0.500 0.275
```

Spin magnetization = 0.001 μB per formula unit
SG = P4mm


Entry 11:
The following is a meta-GGA SCAN calculation of a PBEsol-optimized structure of Y2ScAl, from Alexandria.

Geometry as POSCAR:
```
Y2ScAl
1.0
3.455 0.000 0.000
0.000 4.402 0.000
0.000 0.000 6.507
Y Sc Al
2 1 1
direct
0.000 0.000 0.241
0.000 0.000 0.759
0.500 0.500 0.500
0.500 0.500 0.000
```

Spin magnetization = 0.284 μB per formula unit
SG = Pmmm


Entry 12:
The following is a meta-GGA SCAN calculation of a PBEsol-optimized structure of FeIr2Se, from Alexandria.

Geometry as POSCAR:
```
FeIr2Se
1.0
8.658 0.000 0.000
0.000 2.816 0.000
-0.785 0.000 4.630
Fe Ir Se
2 4 2
direct
0.000 0.000 0.000
0.500 0.500 0.000
0.243 0.500 0.239
0.257 0.000 0.761
0.743 0.000 0.239
0.757 0.500 0.761
0.000 0.500 0.500
0.500 0.000 0.500
```

Spin magnetization = 3.545 μB per formula unit
ΔE_f (raw) = 0.25 eV/atom
SG = C2/m


Entry 13:
The following is a meta-GGA SCAN calculation of a PBEsol-optimized structure of Pt2PbCl, from Alexandria.

Geometry as POSCAR:
```
Pt2PbCl
1.0
3.693 0.000 0.000
0.000 5.142 0.000
0.000 0.000 8.121
Pt Pb Cl
4 2 2
direct
0.000 0.000 0.000
0.000 0.500 0.275
0.500 0.000 0.775
0.500 0.500 0.500
0.000 0.000 0.490
0.500 0.500 0.990
0.000 0.500 0.691
0.500 0.000 0.191
```

Spin magnetization = 0.000 μB per formula unit
ΔE to the lowest computed polymorph = 0.187 eV per atom
ΔE_f (raw) = 0.18 eV/atom
SG = Imm2


Entry 14:
The following is a meta-GGA SCAN calculation of a PBEsol-optimized structure of KAsPb, from Alexandria.

Geometry as POSCAR:
```
KAsPb
1.0
4.235 0.000 0.000
-2.117 3.667 0.000
0.000 0.000 6.266
K As Pb
1 1 1
direct
0.000 0.000 0.000
0.333 0.667 0.332
0.667 0.333 0.552
```

Spin magnetization = 0.000 μB per formula unit
SG = P3m1


Entry 15:
The following is a meta-GGA SCAN calculation of a PBEsol-optimized structure of TaCuRh, from Alexandria.

Geometry as POSCAR:
```
TaCuRh
1.0
2.841 0.000 0.000
0.000 3.673 0.000
0.000 0.000 8.126
Ta Cu Rh
2 2 2
direct
0.000 0.000 0.000
0.500 0.500 0.500
0.000 0.000 0.669
0.500 0.500 0.169
0.000 0.000 0.329
0.500 0.500 0.829
```

Spin magnetization = 0.002 μB per formula unit
ΔE to the lowest computed polymorph = 0.000 eV per atom
SG = Imm2


Entry 16:
The following is a meta-GGA SCAN calculation of a PBEsol-optimized structure of LiTbCu2P2, from Alexandria.

Geometry as POSCAR:
```
LiTbCu2P2
1.0
3.938 0.000 0.000
-1.969 3.410 0.000
0.000 0.000 6.475
Li Tb Cu P
1 1 2 2
direct
0.000 0.000 0.000
0.000 0.000 0.500
0.333 0.667 0.165
0.667 0.333 0.835
0.333 0.667 0.764
0.667 0.333 0.236
```

Spin magnetization = 0.000 μB per formula unit
SG = P-3m1


Entry 17:
The following is a meta-GGA SCAN calculation of a PBEsol-optimized structure of Ta2InCo, from Alexandria.

Geometry as POSCAR:
```
Ta2InCo
1.0
3.327 0.000 0.000
0.000 4.352 0.000
0.000 0.000 8.899
Ta In Co
4 2 2
direct
0.000 0.000 0.232
0.000 0.000 0.768
0.500 0.500 0.268
0.500 0.500 0.732
0.000 0.500 0.000
0.500 0.000 0.500
0.000 0.500 0.500
0.500 0.000 0.000
```

Spin magnetization = 0.971 μB per formula unit
SG = Immm


Entry 18:
The following is a meta-GGA SCAN calculation of a PBEsol-optimized structure of TlRuPt2, from Alexandria.

Geometry as POSCAR:
```
TlRuPt2
1.0
2.904 0.000 0.000
-1.452 2.515 0.000
0.000 0.000 26.667
Tl Ru Pt
3 3 6
direct
0.000 0.000 0.000
0.333 0.667 0.667
0.667 0.333 0.333
0.000 0.000 0.753
0.333 0.667 0.420
0.667 0.333 0.087
0.000 0.000 0.246
0.000 0.000 0.496
0.333 0.667 0.163
0.333 0.667 0.912
0.667 0.333 0.579
0.667 0.333 0.829
```

Spin magnetization = 0.000 μB per formula unit
ΔE to the lowest computed polymorph = 0.112 eV per atom
SG = R3m


Entry 19:
The following is a meta-GGA SCAN calculation of a PBEsol-optimized structure of K3WN, from Alexandria.

Geometry as POSCAR:
```
K3WN
1.0
6.715 0.000 0.000
0.000 6.715 0.000
0.000 0.000 6.715
K W N
3 1 1
direct
0.000 0.000 0.500
0.000 0.500 0.000
0.500 0.000 0.000
0.000 0.000 0.000
0.500 0.500 0.500
```

Spin magnetization = 8.568 μB per formula unit
ΔE_f (raw) = 2.24 eV/atom
SG = Pm-3m


Entry 20:
The following is a meta-GGA SCAN calculation of a PBEsol-optimized structure of DyLuMg2, from Alexandria.

Geometry as POSCAR:
```
DyLuMg2
1.0
7.421 0.000 0.000
0.000 7.421 0.000
0.000 0.000 7.421
Dy Lu Mg
4 4 8
direct
0.000 0.000 0.000
0.000 0.500 0.500
0.500 0.000 0.500
0.500 0.500 0.000
0.000 0.000 0.500
0.000 0.500 0.000
0.500 0.000 0.000
0.500 0.500 0.500
0.250 0.250 0.250
0.250 0.250 0.750
0.250 0.750 0.250
0.250 0.750 0.750
0.750 0.250 0.250
0.750 0.250 0.750
0.750 0.750 0.250
0.750 0.750 0.750
```

Spin magnetization = 0.000 μB per formula unit
SG = Fm-3m


no.,E (eV per atom)
1,-20.40
2,-53.68
3,-18.38
4,-29.88
5,-43.63
6,-34.84
7,-24.37
8,-36.90
9,-18.98
10,-57.40
11,-19.58
12,-44.85
13,-55.85
14,-35.18
15,-38.89
16,-17.62
17,-45.88
18,-61.49
19,-18.55
20,-28.32